DFT (GGA-PBE) results for a relaxed PmSmDy5Ho2 crystal.

Cell lengths 8.950, 8.950, 9.687 Å; angles 117.51, 117.51, 90.00 degrees
Fractional positions:
Ho 0.113 0.387 0.000
Ho 0.387 0.887 0.000
Ho 0.613 0.113 0.000
Ho 0.887 0.613 0.000
Dy 0.665 0.165 0.737
Dy 0.165 0.072 0.737
Dy 0.500 0.500 0.000
Dy 0.072 0.572 0.737
Dy 0.928 0.428 0.263
Dy 0.835 0.928 0.263
Dy 0.428 0.335 0.263
Dy 0.000 0.000 0.000
Dy 0.335 0.835 0.263
Dy 0.572 0.665 0.737
Pm 0.750 0.750 0.500
Pm 0.250 0.250 0.500
Sm 0.250 0.750 0.500
Sm 0.750 0.250 0.500

total DFT energy (no corrections)	-4.34	eV per atom
space group	I4/mcm (140)
size of the total moment	0.001	μB/f.u.
DFT formation energy	0.29	eV/atom